*w*
Compound: Rb3GeO
Source: the Alexandria database
Functional: PBE
Structure: relaxed

Unit cell a=6.8783 b=6.8783 c=13.4437 alpha=110.74 beta=110.74 gamma=35.10
Closest atoms and distances in Å follow each position.
Sites, in units of the cell vectors:
1 Rb 0.0000 0.0000 0.0000  2 O 2.78
2 Rb 0.1185 0.1185 0.5747  1 O 2.74
3 Rb 0.2458 0.2458 0.8651  1 O 2.74
4 Rb 0.3642 0.3642 0.4400  2 O 2.78
5 Rb 0.5472 0.5472 0.2903  3 O 2.75-2.88
6 Rb 0.8168 0.8168 0.1494  3 O 2.75-2.88
7 Ge 0.4891 0.4891 0.7516  2 Ge 2.51
8 Ge 0.8754 0.8754 0.6889  2 Ge 2.51
9 O 0.4007 0.4007 0.0688  6 Rb 2.74-2.88
10 O 0.9634 0.9634 0.3710  6 Rb 2.74-2.88

Calculated values
Magnetic moment, μB per cell: 0.00

*x*
Compound: Rb3GeO
Source: the Alexandria database
Functional: PBE
Structure: relaxed

Unit cell a=5.6864 b=5.6864 c=5.6864 alpha=90.00 beta=90.00 gamma=90.00
Closest atoms and distances in Å follow each position.
Sites, in units of the cell vectors:
1 Rb 0.0000 0.0000 0.5000  2 O 2.84
2 Rb 0.0000 0.5000 0.0000  2 O 2.84
3 Rb 0.5000 0.0000 0.0000  2 O 2.84
4 Ge 0.5000 0.5000 0.5000  12 Rb 4.02
5 O 0.0000 0.0000 0.0000  6 Rb 2.84

Calculated values
Magnetic moment, μB per cell: 3.00

Going by the energies, *w* is most stable and the next is 27.9 kJ/mol of atoms up.

*w*
Compound: Rb2GeO
Source: the Alexandria database
Functional: PBE
Structure: relaxed

Unit cell a=7.9283 b=7.9283 c=7.9283 alpha=90.00 beta=90.00 gamma=90.00
Closest atoms and distances in Å follow each position.
Sites, in units of the cell vectors:
1 Rb 0.2500 0.2500 0.2500  4 O 3.43, 4 Ge 3.43
2 Rb 0.2500 0.2500 0.7500  4 O 3.43, 4 Ge 3.43
3 Rb 0.2500 0.7500 0.2500  4 O 3.43, 4 Ge 3.43
4 Rb 0.2500 0.7500 0.7500  4 O 3.43, 4 Ge 3.43
5 Rb 0.7500 0.2500 0.2500  4 O 3.43, 4 Ge 3.43
6 Rb 0.7500 0.2500 0.7500  4 O 3.43, 4 Ge 3.43
7 Rb 0.7500 0.7500 0.2500  4 O 3.43, 4 Ge 3.43
8 Rb 0.7500 0.7500 0.7500  4 O 3.43, 4 Ge 3.43
9 Ge 0.0000 0.0000 0.0000  8 Rb 3.43
10 Ge 0.0000 0.5000 0.5000  8 Rb 3.43
11 Ge 0.5000 0.0000 0.5000  8 Rb 3.43
12 Ge 0.5000 0.5000 0.0000  8 Rb 3.43
13 O 0.0000 0.0000 0.5000  8 Rb 3.43
14 O 0.0000 0.5000 0.0000  8 Rb 3.43
15 O 0.5000 0.0000 0.0000  8 Rb 3.43
16 O 0.5000 0.5000 0.5000  8 Rb 3.43

Calculated values
Magnetic moment, μB per cell: 8.00

*x*
Compound: Rb2GeO
Source: the Alexandria database
Functional: PBE
Structure: relaxed

Unit cell a=11.9788 b=11.9788 c=4.1711 alpha=90.00 beta=90.00 gamma=90.00
Closest atoms and distances in Å follow each position.
Sites, in units of the cell vectors:
1 Rb 0.0455 0.7500 0.1250  2 O 3.09, 2 Ge 3.42
2 Rb 0.2500 0.0455 0.8750  2 O 3.09, 2 Ge 3.42
3 Rb 0.2500 0.4545 0.3750  2 O 3.09, 2 Ge 3.42
4 Rb 0.4545 0.7500 0.6250  2 O 3.09, 2 Ge 3.42
5 Rb 0.5455 0.2500 0.6250  2 O 3.09, 2 Ge 3.42
6 Rb 0.7500 0.5455 0.3750  2 O 3.09, 2 Ge 3.42
7 Rb 0.7500 0.9545 0.8750  2 O 3.09, 2 Ge 3.42
8 Rb 0.9545 0.2500 0.1250  2 O 3.09, 2 Ge 3.42
9 Ge 0.0000 0.0000 0.5000  2 O 2.09
10 Ge 0.0000 0.5000 0.7500  2 O 2.09
11 Ge 0.5000 0.0000 0.2500  2 O 2.09
12 Ge 0.5000 0.5000 0.0000  2 O 2.09
13 O 0.0000 0.0000 0.0000  2 Ge 2.09
14 O 0.0000 0.5000 0.2500  2 Ge 2.09
15 O 0.5000 0.0000 0.7500  2 Ge 2.09
16 O 0.5000 0.5000 0.5000  2 Ge 2.09

Calculated values
Magnetic moment, μB per cell: 0.00

Going by the energies, *x* is most stable and the next is 61.6 kJ/mol of atoms up.

*w*
Compound: Re2GeO
Source: the Alexandria database
Functional: PBE
Structure: relaxed

Unit cell a=4.2517 b=4.2517 c=13.8515 alpha=90.00 beta=90.00 gamma=90.00
Closest atoms and distances in Å follow each position.
Sites, in units of the cell vectors:
1 Re 0.1569 0.2500 0.1250  2 O 2.14
2 Re 0.2500 0.6569 0.3750  2 O 2.14
3 Re 0.2500 0.8431 0.8750  2 O 2.14
4 Re 0.3431 0.2500 0.6250  2 O 2.14
5 Re 0.6569 0.7500 0.6250  2 O 2.14
6 Re 0.7500 0.1569 0.8750  2 O 2.14
7 Re 0.7500 0.3431 0.3750  2 O 2.14
8 Re 0.8431 0.7500 0.1250  2 O 2.14
9 Ge 0.0000 0.0000 0.5000  4 Re 2.50
10 Ge 0.0000 0.5000 0.7500  4 Re 2.50
11 Ge 0.5000 0.0000 0.2500  4 Re 2.50
12 Ge 0.5000 0.5000 0.0000  4 Re 2.50
13 O 0.0000 0.0000 0.0000  4 Re 2.14
14 O 0.0000 0.5000 0.2500  4 Re 2.14
15 O 0.5000 0.0000 0.7500  4 Re 2.14
16 O 0.5000 0.5000 0.5000  4 Re 2.14

Calculated values
Magnetic moment, μB per cell: 0.00

*x*
Compound: Re2GeO
Source: the Alexandria database
Functional: PBE
Structure: relaxed

Unit cell a=5.9298 b=5.9298 c=5.9298 alpha=90.00 beta=90.00 gamma=90.00
Closest atoms and distances in Å follow each position.
Sites, in units of the cell vectors:
1 Re 0.2500 0.2500 0.2500  4 O 2.57, 4 Ge 2.57
2 Re 0.2500 0.2500 0.7500  4 O 2.57, 4 Ge 2.57
3 Re 0.2500 0.7500 0.2500  4 O 2.57, 4 Ge 2.57
4 Re 0.2500 0.7500 0.7500  4 O 2.57, 4 Ge 2.57
5 Re 0.7500 0.2500 0.2500  4 O 2.57, 4 Ge 2.57
6 Re 0.7500 0.2500 0.7500  4 O 2.57, 4 Ge 2.57
7 Re 0.7500 0.7500 0.2500  4 O 2.57, 4 Ge 2.57
8 Re 0.7500 0.7500 0.7500  4 Ge 2.57, 4 O 2.57
9 Ge 0.0000 0.0000 0.0000  8 Re 2.57
10 Ge 0.0000 0.5000 0.5000  8 Re 2.57
11 Ge 0.5000 0.0000 0.5000  8 Re 2.57
12 Ge 0.5000 0.5000 0.0000  8 Re 2.57
13 O 0.0000 0.0000 0.5000  8 Re 2.57
14 O 0.0000 0.5000 0.0000  8 Re 2.57
15 O 0.5000 0.0000 0.0000  8 Re 2.57
16 O 0.5000 0.5000 0.5000  8 Re 2.57

Calculated values
Magnetic moment, μB per cell: 0.00

Going by the energies, *w* is most stable and the next is 21.4 kJ/mol of atoms up.

*w*
Compound: Re2GeO2
Source: the Alexandria database
Functional: PBE
Structure: relaxed

Unit cell a=3.2952 b=3.2952 c=10.9675 alpha=90.00 beta=90.00 gamma=90.00
Closest atoms and distances in Å follow each position.
Sites, in units of the cell vectors:
1 Re 0.0000 0.0000 0.1248  4 O 2.15
2 Re 0.0000 0.0000 0.8752  4 O 2.15
3 Re 0.5000 0.5000 0.3752  4 O 2.15
4 Re 0.5000 0.5000 0.6248  4 O 2.15
5 Ge 0.0000 0.0000 0.5000  8 Re 2.70
6 Ge 0.5000 0.5000 0.0000  8 Re 2.70
7 O 0.0000 0.5000 0.2500  4 Re 2.15, 4 O 2.33
8 O 0.0000 0.5000 0.7500  4 Re 2.15, 4 O 2.33
9 O 0.5000 0.0000 0.2500  4 Re 2.15, 4 O 2.33
10 O 0.5000 0.0000 0.7500  4 Re 2.15, 4 O 2.33

Calculated values
Magnetic moment, μB per cell: 0.00

*x*
Compound: Re2GeO2
Source: the Alexandria database
Functional: PBE
Structure: relaxed

Unit cell a=6.9642 b=6.9642 c=2.6847 alpha=90.00 beta=90.00 gamma=90.00
Closest atoms and distances in Å follow each position.
Sites, in units of the cell vectors:
1 Re 0.1290 0.3710 0.0000  4 O 2.20
2 Re 0.3710 0.8710 0.0000  4 O 2.20
3 Re 0.6290 0.1290 0.0000  4 O 2.20
4 Re 0.8710 0.6290 0.0000  4 O 2.20
5 Ge 0.0000 0.0000 0.0000  2 Ge 2.68, 4 Re 2.74
6 Ge 0.5000 0.5000 0.0000  2 Ge 2.68, 4 Re 2.74
7 O 0.1220 0.6220 0.5000  4 Re 2.20, 1 O 2.40
8 O 0.3780 0.1220 0.5000  4 Re 2.20, 1 O 2.40
9 O 0.6220 0.8780 0.5000  4 Re 2.20, 1 O 2.40
10 O 0.8780 0.3780 0.5000  4 Re 2.20, 1 O 2.40

Calculated values
Magnetic moment, μB per cell: 0.00

Going by the energies, *w* is most stable and the next is 55.7 kJ/mol of atoms up.